No. 1
Below is crystalline SiOs3Pd at its relaxed geometry, with properties calculated at the PBE level.

Geometry as POSCAR:
```
SiOs3Pd
1.0
4.3625 0.0000 0.0000
0.0000 4.3625 0.0000
0.0000 0.0000 4.3625
Os Si Pd
3 1 1
direct
0.0000 0.5000 0.0000
0.5000 0.0000 0.0000
0.0000 0.0000 0.5000
0.0000 0.0000 0.0000
0.5000 0.5000 0.5000
```

Properties
Formation energy without anion corrections: 122.89 kJ/mol of atoms
Symmetry: No. 221
Total magnetic moment: 0.00 μB/cell
Relative energy among the computed polymorphs: 0 meV/atom
DOS(E_F): 1.15 states/eV/atom
E: -7.59 eV/atom


No. 2
Below is crystalline SiOs3Pd at its relaxed geometry, with properties calculated at the PBE level.

Geometry as POSCAR:
```
SiOs3Pd
1.0
4.7145 0.0000 0.0000
0.0000 4.7145 0.0000
0.0000 0.0000 4.7145
Os Si Pd
3 1 1
direct
0.0000 0.5000 0.0000
0.5000 0.0000 0.0000
0.0000 0.0000 0.5000
0.5000 0.5000 0.5000
0.0000 0.0000 0.0000
```

Properties
Formation energy without anion corrections: 273.96 kJ/mol of atoms
Symmetry: No. 221
Total magnetic moment: 4.39 μB/cell
Relative energy among the computed polymorphs: 1566 meV/atom
DOS(E_F): 1.52 states/eV/atom
E: -6.02 eV/atom


No. 3
Below is crystalline Si3OsPd at its relaxed geometry, with properties calculated at the PBE level.

Geometry as POSCAR:
```
Si3OsPd
1.0
-0.9752 3.0915 -3.2844
-4.1961 -1.8544 -0.4997
-1.6545 2.8808 3.2029
Si Os Pd
3 1 1
direct
0.0000 0.5000 0.0000
0.0000 0.0000 0.5000
0.5000 0.0000 0.0000
0.0000 0.0000 0.0000
0.5000 0.5000 0.5000
```

Properties
Formation energy without anion corrections: 47.50 kJ/mol of atoms
Symmetry: No. 221
Total magnetic moment: 0.00 μB/cell
Relative energy among the computed polymorphs: 0 meV/atom
DOS(E_F): 0.27 states/eV/atom
E: -6.05 eV/atom


No. 4
Below is crystalline Si2OsPd at its relaxed geometry, with properties calculated at the PBE level.

Geometry as POSCAR:
```
Si2OsPd
1.0
-3.0317 -1.0655 4.2982
3.6230 -3.5920 1.6650
2.8954 1.5941 5.7877
Si Os Pd
4 2 2
direct
0.6380 0.1250 0.2500
0.3750 0.3620 0.7500
0.8750 0.8880 0.7500
0.1120 0.6250 0.2500
0.0000 0.0000 0.0000
0.7500 0.2500 0.5000
0.2500 0.7500 0.5000
0.5000 0.5000 0.0000
```

Properties
Formation energy without anion corrections: 18.10 kJ/mol of atoms
Symmetry: No. 122
Total magnetic moment: 0.00 μB/cell
DOS(E_F): 0.49 states/eV/atom
E: -6.63 eV/atom


No. 5
Below is crystalline Si2Os2Pd at its relaxed geometry, with properties calculated at the PBE level.

Geometry as POSCAR:
```
Si2Os2Pd
1.0
-4.9827 -1.6229 4.7992
4.8188 0.5593 5.1923
-0.6192 2.7306 0.2805
Pd Os Si
2 4 4
direct
0.0000 0.0000 0.0000
0.5000 0.5000 0.0000
0.8567 0.6433 0.0000
0.3567 0.8567 0.0000
0.6433 0.1433 0.0000
0.1433 0.3567 0.0000
0.1538 0.6538 0.5000
0.3462 0.1538 0.5000
0.6538 0.8462 0.5000
0.8462 0.3462 0.5000
```

Properties
Formation energy without anion corrections: -13.27 kJ/mol of atoms
Symmetry: No. 127
Total magnetic moment: 0.00 μB/cell
Relative energy among the computed polymorphs: 70 meV/atom
DOS(E_F): 0.75 states/eV/atom
E: -7.84 eV/atom


No. 6
Below is crystalline SiOsPd at its relaxed geometry, with properties calculated at the PBE level.

Geometry as POSCAR:
```
SiOsPd
1.0
2.8889 0.0000 0.0000
0.0000 2.8889 0.0000
-1.4445 -1.4445 10.4031
Si Pd Os
2 2 2
direct
0.8660 0.8660 0.7321
0.1340 0.1340 0.2679
0.5637 0.5637 0.1273
0.4363 0.4363 0.8727
0.2966 0.2966 0.5933
0.7034 0.7034 0.4067
```

Properties
Formation energy without anion corrections: -23.50 kJ/mol of atoms
Symmetry: No. 139
Total magnetic moment: 0.00 μB/cell
DOS(E_F): 0.30 states/eV/atom
E: -7.53 eV/atom


No. 7
Below is crystalline Si2Os2Pd at its relaxed geometry, with properties calculated at the PBE level.

Geometry as POSCAR:
```
Si2Os2Pd
1.0
7.0183 0.0000 0.0000
0.0000 7.0183 0.0000
0.0000 0.0000 2.8214
Si Os Pd
4 4 2
direct
0.1475 0.3525 0.0000
0.8525 0.6475 0.0000
0.3525 0.8525 0.0000
0.6475 0.1475 0.0000
0.6498 0.8502 0.5000
0.1498 0.6498 0.5000
0.8502 0.3502 0.5000
0.3502 0.1498 0.5000
0.5000 0.5000 0.0000
0.0000 0.0000 0.0000
```

Properties
Formation energy without anion corrections: -20.02 kJ/mol of atoms
Symmetry: No. 127
Total magnetic moment: 0.00 μB/cell
Relative energy among the computed polymorphs: 0 meV/atom
DOS(E_F): 0.66 states/eV/atom
E: -7.91 eV/atom


No. 8
Below is crystalline SrSi2OsPd at its relaxed geometry, with properties calculated at the PBE level.

Geometry as POSCAR:
```
SrSi2OsPd
1.0
4.6090 0.0000 0.0000
0.0000 5.4615 0.0000
0.0000 0.0000 4.6090
Si Os Pd Sr
2 1 1 1
direct
0.5000 0.0000 0.0000
0.0000 0.0000 0.5000
0.5000 0.5000 0.5000
0.0000 0.0000 0.0000
0.0000 0.5000 0.0000
```

Properties
Formation energy without anion corrections: 91.24 kJ/mol of atoms
Symmetry: No. 123
Total magnetic moment: 1.68 μB/cell
DOS(E_F): 0.84 states/eV/atom
E: -4.84 eV/atom


No. 9
Below is crystalline SiTcOs2Pd at its relaxed geometry, with properties calculated at the PBE level.

Geometry as POSCAR:
```
SiTcOs2Pd
1.0
-0.5175 -3.1347 -3.0660
3.8238 1.1073 -1.7775
2.0568 -2.9001 2.6180
Tc Pd Os Si
1 1 2 1
direct
0.5000 0.5000 0.5000
0.0000 0.5000 0.0000
0.0000 0.0000 0.5000
0.5000 0.0000 0.0000
0.0000 0.0000 0.0000
```

Properties
Formation energy without anion corrections: 110.14 kJ/mol of atoms
Symmetry: No. 123
Total magnetic moment: 2.97 μB/cell
DOS(E_F): 0.80 states/eV/atom
E: -7.55 eV/atom


No. 10
Below is crystalline SiTe2OsPd at its relaxed geometry, with properties calculated at the PBE level.

Geometry as POSCAR:
```
SiTe2OsPd
1.0
-1.0168 3.5165 3.7749
-2.0924 -3.0995 2.3237
4.5133 -1.2573 2.3870
Os Pd Si Te
1 1 1 2
direct
0.5000 0.5000 0.5000
0.0000 0.0000 0.0000
0.0000 0.5000 0.0000
0.0000 0.0000 0.5000
0.5000 0.0000 0.0000
```

Properties
Formation energy without anion corrections: 122.74 kJ/mol of atoms
Symmetry: No. 123
Total magnetic moment: 1.59 μB/cell
DOS(E_F): 0.97 states/eV/atom
E: -4.35 eV/atom


No. 11
Below is crystalline YSi2OsPd at its relaxed geometry, with properties calculated at the PBE level.

Geometry as POSCAR:
```
YSi2OsPd
1.0
-2.5132 1.3034 -3.4755
-2.5981 -4.5598 0.1687
-2.9763 1.8005 2.8274
Pd Si Os Y
1 2 1 1
direct
0.0000 0.5000 0.0000
0.5000 0.0000 0.0000
0.0000 0.0000 0.5000
0.0000 0.0000 0.0000
0.5000 0.5000 0.5000
```

Properties
Formation energy without anion corrections: 2.17 kJ/mol of atoms
Symmetry: No. 123
Total magnetic moment: 0.00 μB/cell
DOS(E_F): 0.55 states/eV/atom
E: -6.72 eV/atom


No. 12
Below is crystalline Sm5OsPd2 at its relaxed geometry, with properties calculated at the PBE level.

Geometry as POSCAR:
```
Sm5OsPd2
1.0
1.6272 1.8206 -6.8845
2.2709 -6.8259 -1.2684
-9.0157 0.5576 1.8918
Sm Pd Os
10 4 2
direct
0.6741 0.1741 0.6967
0.9774 0.4774 0.3033
0.8259 0.9774 0.3033
0.5000 0.5000 0.0000
0.0226 0.5226 0.6967
0.0000 0.0000 0.0000
0.1741 0.0226 0.6967
0.3259 0.8259 0.3033
0.5226 0.6741 0.6967
0.4774 0.3259 0.3033
0.3699 0.8699 0.0000
0.8699 0.6301 0.0000
0.6301 0.1301 0.0000
0.1301 0.3699 0.0000
0.2500 0.2500 0.5000
0.7500 0.7500 0.5000
```

Properties
E_form: -0.44 eV per atom
Symmetry: No. 140
Total magnetic moment: 0.00 μB/cell
DOS(E_F): 0.99 states/eV/atom
E: -6.09 eV/atom


No. 13
Below is crystalline Sm3OsPd2 at its relaxed geometry, with properties calculated at the PBE level.

Geometry as POSCAR:
```
Sm3OsPd2
1.0
4.9981 0.0000 0.0203
2.4990 7.4866 0.0102
-0.0276 0.0000 7.1526
Pd Sm Os
4 6 2
direct
0.6665 0.6669 0.5000
0.0000 0.0000 0.0000
0.0000 0.0000 0.5000
0.3335 0.3331 0.5000
0.8301 0.3389 0.2397
0.5006 0.0000 0.7576
0.1699 0.6611 0.7603
0.8310 0.3389 0.7603
0.4994 0.0000 0.2424
0.1690 0.6611 0.2397
0.3349 0.3301 0.0000
0.6651 0.6699 0.0000
```

Properties
E_form: -0.55 eV per atom
Symmetry: No. 65
Total magnetic moment: 0.00 μB/cell
DOS(E_F): 0.52 states/eV/atom
E: -6.51 eV/atom


No. 14
Below is crystalline Sm8Os2Pd at its relaxed geometry, with properties calculated at the PBE level.

Geometry as POSCAR:
```
Sm8Os2Pd
1.0
6.0132 0.0784 -0.9984
-1.9444 6.8613 -2.8719
-0.1003 -0.1035 7.6867
Sm Os Pd
8 2 1
direct
0.1836 0.3694 0.3694
0.9884 0.2211 0.7813
0.5853 0.3436 0.0795
0.3867 0.6638 0.9278
0.7908 0.6352 0.6352
0.5853 0.0795 0.3436
0.3867 0.9278 0.6638
0.9884 0.7813 0.2211
0.4872 0.3148 0.6941
0.4872 0.6941 0.3148
0.1298 0.0033 0.0033
```

Properties
E_form: -0.16 eV per atom
Symmetry: No. 8
Total magnetic moment: 0.00 μB/cell
DOS(E_F): 1.01 states/eV/atom
E: -6.11 eV/atom


No. 15
Below is crystalline Sm2OsPd at its relaxed geometry, with properties calculated at the PBE level.

Geometry as POSCAR:
```
Sm2OsPd
1.0
-1.5118 3.1345 -0.2174
-1.2353 -0.8147 -3.1573
-5.9935 -2.6801 3.0365
Pd Sm Os
1 2 1
direct
0.5000 0.5000 0.5000
0.0000 0.0000 0.7618
0.0000 0.0000 0.2382
0.5000 0.5000 0.0000
```

Properties
E_form: -0.43 eV per atom
Symmetry: No. 123
Total magnetic moment: 0.00 μB/cell
DOS(E_F): 0.40 states/eV/atom
E: -6.89 eV/atom


No. 16
Below is crystalline SmZrOsPd at its relaxed geometry, with properties calculated at the PBE level.

Geometry as POSCAR:
```
SmZrOsPd
1.0
4.8319 0.0000 0.0000
2.4159 4.1845 0.0000
2.4159 1.3948 3.9452
Pd Os Sm Zr
1 1 1 1
direct
0.0000 0.0000 0.0000
0.5000 0.5000 0.5000
0.2500 0.2500 0.2500
0.7500 0.7500 0.7500
```

Properties
E_form: -0.42 eV per atom
Symmetry: No. 216
Total magnetic moment: 0.00 μB/cell
DOS(E_F): 0.82 states/eV/atom
E: -7.84 eV/atom


No. 17
Below is crystalline Sn2OsPd at its relaxed geometry, with properties calculated at the PBE level.

Geometry as POSCAR:
```
Sn2OsPd
1.0
0.8513 -4.2391 -1.7732
0.3187 -3.6991 2.8381
-3.3605 -3.2475 -0.0078
Pd Os Sn
1 1 2
direct
0.0000 0.0000 0.0000
0.5000 0.5000 0.5000
0.2500 0.2500 0.2500
0.7500 0.7500 0.7500
```

Properties
E_form: 0.13 eV per atom
Symmetry: No. 225
Total magnetic moment: 0.00 μB/cell
Relative energy among the computed polymorphs: 0 meV/atom
DOS(E_F): 0.70 states/eV/atom
E: -5.98 eV/atom


No. 18
Below is crystalline Sn2OsPd2 at its relaxed geometry, with properties calculated at the PBE level.

Geometry as POSCAR:
```
Sn2OsPd2
1.0
4.1123 0.0000 0.0000
0.0000 4.1123 0.0000
2.0562 2.0562 5.9023
Pd Sn Os
2 2 1
direct
0.3931 0.3931 0.2138
0.6069 0.6069 0.7862
0.2500 0.7500 0.5000
0.7500 0.2500 0.5000
0.0000 0.0000 0.0000
```

Properties
E_form: 0.73 eV per atom
Symmetry: No. 139
Total magnetic moment: 1.88 μB/cell
Relative energy among the computed polymorphs: 505 meV/atom
DOS(E_F): 0.78 states/eV/atom
E: -5.19 eV/atom


No. 19
Below is crystalline SnOs3Pd at its relaxed geometry, with properties calculated at the PBE level.

Geometry as POSCAR:
```
SnOs3Pd
1.0
-4.1459 1.3708 1.8872
-2.1259 -0.6369 -4.2076
-0.9598 -4.5105 1.1677
Os Sn Pd
3 1 1
direct
0.0000 0.5000 0.0000
0.0000 0.0000 0.5000
0.5000 0.0000 0.0000
0.5000 0.5000 0.5000
0.0000 0.0000 0.0000
```

Properties
E_form: 2.43 eV per atom
Symmetry: No. 221
Total magnetic moment: 4.64 μB/cell
Relative energy among the computed polymorphs: 0 meV/atom
DOS(E_F): 1.14 states/eV/atom
E: -6.14 eV/atom


No. 20
Below is crystalline Sn2OsPd2 at its relaxed geometry, with properties calculated at the PBE level.

Geometry as POSCAR:
```
Sn2OsPd2
1.0
-6.3345 -3.3231 2.5982
3.5268 -1.6005 6.5514
-0.9393 2.7021 1.1658
Pd Sn Os
4 4 2
direct
0.6283 0.1283 0.0000
0.3717 0.8717 0.0000
0.8717 0.6283 0.0000
0.1283 0.3717 0.0000
0.1735 0.6735 0.5000
0.3265 0.1735 0.5000
0.8265 0.3265 0.5000
0.6735 0.8265 0.5000
0.5000 0.5000 0.0000
0.0000 0.0000 0.0000
```

Properties
E_form: 0.22 eV per atom
Symmetry: No. 127
Total magnetic moment: 2.36 μB/cell
Relative energy among the computed polymorphs: 0 meV/atom
DOS(E_F): 0.71 states/eV/atom
E: -5.70 eV/atom


No. 21
Below is crystalline Sn2OsPd at its relaxed geometry, with properties calculated at the PBE level.

Geometry as POSCAR:
```
Sn2OsPd
1.0
-2.6082 -1.8276 5.1198
4.5877 -3.7864 0.9856
3.8838 1.4818 6.0580
Os Pd Sn
2 2 4
direct
0.7500 0.2500 0.5000
0.0000 0.0000 0.0000
0.5000 0.5000 0.0000
0.2500 0.7500 0.5000
0.6358 0.1250 0.2500
0.1142 0.6250 0.2500
0.8750 0.8858 0.7500
0.3750 0.3642 0.7500
```

Properties
E_form: 0.61 eV per atom
Symmetry: No. 122
Total magnetic moment: 0.00 μB/cell
Relative energy among the computed polymorphs: 486 meV/atom
DOS(E_F): 0.65 states/eV/atom
E: -5.49 eV/atom


No. 22
Below is crystalline Sn3OsPd at its relaxed geometry, with properties calculated at the PBE level.

Geometry as POSCAR:
```
Sn3OsPd
1.0
-2.6331 -3.8430 -2.0705
3.9785 -3.1078 0.7089
-1.7966 -1.2497 4.6043
Sn Os Pd
3 1 1
direct
0.5000 0.0000 0.0000
0.0000 0.5000 0.0000
0.0000 0.0000 0.5000
0.0000 0.0000 0.0000
0.5000 0.5000 0.5000
```

Properties
E_form: 0.41 eV per atom
Symmetry: No. 221
Total magnetic moment: 0.00 μB/cell
Relative energy among the computed polymorphs: 0 meV/atom
DOS(E_F): 0.39 states/eV/atom
E: -5.27 eV/atom


No. 23
Below is crystalline USnOsPd at its relaxed geometry, with properties calculated at the PBE level.

Geometry as POSCAR:
```
USnOsPd
1.0
4.7750 0.0000 0.0000
2.3875 4.1353 0.0000
2.3875 1.3784 3.8988
Sn Pd Os U
1 1 1 1
direct
0.2500 0.2500 0.2500
0.5000 0.5000 0.5000
0.0000 0.0000 0.0000
0.7500 0.7500 0.7500
```

Properties
E_form: -0.10 eV per atom
Symmetry: No. 216
Total magnetic moment: 1.89 μB/cell
DOS(E_F): 1.63 states/eV/atom
E: -8.03 eV/atom


No. 24
Below is crystalline Zr2SnOsPd at its relaxed geometry, with properties calculated at the PBE level.

Geometry as POSCAR:
```
Zr2SnOsPd
1.0
5.2261 0.0000 0.0000
0.0000 4.7672 0.0000
0.0000 0.0000 5.2261
Os Sn Zr Pd
1 1 2 1
direct
0.0000 0.5000 0.0000
0.0000 0.0000 0.0000
0.5000 0.0000 0.0000
0.0000 0.0000 0.5000
0.5000 0.5000 0.5000
```

Properties
E_form: 1.37 eV per atom
Symmetry: No. 123
Total magnetic moment: 0.00 μB/cell
DOS(E_F): 0.83 states/eV/atom
E: -6.14 eV/atom


No. 25
Below is crystalline Sr2OsPd at its relaxed geometry, with properties calculated at the PBE level.

Geometry as POSCAR:
```
Sr2OsPd
1.0
-3.1921 -4.3465 -6.0982
7.3810 -2.9460 -1.7638
1.6149 -6.0044 -1.9992
Pd Sr Os
2 4 2
direct
0.5000 0.5000 0.0000
0.2500 0.7500 0.5000
0.6181 0.1250 0.2500
0.8750 0.8681 0.7500
0.3750 0.3819 0.7500
0.1319 0.6250 0.2500
0.7500 0.2500 0.5000
0.0000 0.0000 0.0000
```

Properties
E_form: 0.68 eV per atom
Symmetry: No. 122
Total magnetic moment: 2.37 μB/cell
Relative energy among the computed polymorphs: 244 meV/atom
DOS(E_F): 1.18 states/eV/atom
E: -4.27 eV/atom


No. 26
Below is crystalline Sr2OsPd at its relaxed geometry, with properties calculated at the PBE level.

Geometry as POSCAR:
```
Sr2OsPd
1.0
0.0000 3.6562 3.6562
3.6562 0.0000 3.6562
3.6562 3.6562 0.0000
Sr Os Pd
2 1 1
direct
0.2500 0.2500 0.2500
0.7500 0.7500 0.7500
0.5000 0.5000 0.5000
0.0000 0.0000 0.0000
```

Properties
E_form: 0.44 eV per atom
Symmetry: No. 225
Total magnetic moment: 0.00 μB/cell
Relative energy among the computed polymorphs: 0 meV/atom
DOS(E_F): 0.85 states/eV/atom
E: -4.51 eV/atom